# PmNdAgPt, relaxed, DFT PBE
data_PmNdAgPt
_chemical_formula_sum 'Pm2 Nd2 Ag2 Pt2'
_cell_length_a 4.712
_cell_length_b 3.924
_cell_length_c 11.013
_cell_angle_alpha 90.00
_cell_angle_beta 90.00
_cell_angle_gamma 90.00
_space_group_name_H-M_alt 'A m m 2'
_space_group_IT_number 38
loop_
_space_group_symop_operation_xyz
'x,y,z'
'-x,-y,z'
'-x,y,z'
'x,-y,z'
'x,y+1/2,z+1/2'
'-x,-y+1/2,z+1/2'
'-x,y+1/2,z+1/2'
'x,-y+1/2,z+1/2'
loop_
_atom_site_label
_atom_site_type_symbol
_atom_site_fract_x
_atom_site_fract_y
_atom_site_fract_z
_atom_site_occupancy
Pm1 Pm 0.000 0.000 0.000 1
Nd1 Nd 0.500 0.000 0.724 1
Ag1 Ag 0.000 0.000 0.281 1
Pt1 Pt 0.500 0.000 0.448 1
# Total DFT energy (no corrections): -5.304 eV/atom
# Formation energy: -701.7 meV/atom

# PmNdAgPt, relaxed, DFT PBE
data_PmNdAgPt
_chemical_formula_sum 'Pm4 Nd4 Ag4 Pt4'
_cell_length_a 7.318
_cell_length_b 7.318
_cell_length_c 7.318
_cell_angle_alpha 90.00
_cell_angle_beta 90.00
_cell_angle_gamma 90.00
_space_group_name_H-M_alt 'F -4 3 m'
_space_group_IT_number 216
_space_group_name_Hall 'F -4 2 3'
loop_
_atom_site_label
_atom_site_type_symbol
_atom_site_fract_x
_atom_site_fract_y
_atom_site_fract_z
_atom_site_occupancy
Pm1 Pm 0.000 0.000 0.000 1
Nd1 Nd 0.000 0.000 0.500 1
Ag1 Ag 0.250 0.250 0.250 1
Pt1 Pt 0.250 0.250 0.750 1
# Total DFT energy (no corrections): -5.272 eV/atom
# Formation energy: -669.8 meV/atom

# PmNdAgRu, relaxed, DFT PBE
data_PmNdAgRu
_chemical_formula_sum 'Pm1 Nd1 Ag1 Ru1'
_cell_length_a 3.517
_cell_length_b 3.517
_cell_length_c 7.739
_cell_angle_alpha 90.00
_cell_angle_beta 90.00
_cell_angle_gamma 90.00
_space_group_name_H-M_alt 'P 4 m m'
_space_group_IT_number 99
loop_
_space_group_symop_operation_xyz
'x,y,z'
'-y,x,z'
'-x,-y,z'
'y,-x,z'
'-x,y,z'
'y,x,z'
'x,-y,z'
'-y,-x,z'
loop_
_atom_site_label
_atom_site_type_symbol
_atom_site_fract_x
_atom_site_fract_y
_atom_site_fract_z
_atom_site_occupancy
Pm1 Pm 0.000 0.000 0.000 1
Nd1 Nd 0.000 0.000 0.447 1
Ag1 Ag 0.500 0.500 0.727 1
Ru1 Ru 0.500 0.500 0.221 1
# Total DFT energy (no corrections): -5.674 eV/atom
# Formation energy: -262.3 meV/atom

# PmNdAgRu, relaxed, DFT PBE
data_PmNdAgRu
_chemical_formula_sum 'Pm4 Nd4 Ag4 Ru4'
_cell_length_a 7.218
_cell_length_b 7.218
_cell_length_c 7.218
_cell_angle_alpha 90.00
_cell_angle_beta 90.00
_cell_angle_gamma 90.00
_space_group_name_H-M_alt 'F -4 3 m'
_space_group_IT_number 216
_space_group_name_Hall 'F -4 2 3'
loop_
_atom_site_label
_atom_site_type_symbol
_atom_site_fract_x
_atom_site_fract_y
_atom_site_fract_z
_atom_site_occupancy
Pm1 Pm 0.000 0.000 0.000 1
Nd1 Nd 0.000 0.000 0.500 1
Ag1 Ag 0.250 0.250 0.750 1
Ru1 Ru 0.250 0.250 0.250 1
# Total DFT energy (no corrections): -5.624 eV/atom
# Formation energy: -212.2 meV/atom

# PmNdScAg, relaxed, DFT PBE
data_PmNdScAg
_chemical_formula_sum 'Pm4 Nd4 Sc4 Ag4'
_cell_length_a 7.515
_cell_length_b 7.515
_cell_length_c 7.515
_cell_angle_alpha 90.00
_cell_angle_beta 90.00
_cell_angle_gamma 90.00
_space_group_name_H-M_alt 'F -4 3 m'
_space_group_IT_number 216
_space_group_name_Hall 'F -4 2 3'
loop_
_atom_site_label
_atom_site_type_symbol
_atom_site_fract_x
_atom_site_fract_y
_atom_site_fract_z
_atom_site_occupancy
Pm1 Pm 0.000 0.000 0.000 1
Nd1 Nd 0.250 0.250 0.750 1
Sc1 Sc 0.250 0.250 0.250 1
Ag1 Ag 0.000 0.000 0.500 1
# Total DFT energy (no corrections): -4.564 eV/atom
# Formation energy: 111.2 meV/atom

# Pm2NdAg3Se6, relaxed, DFT PBE
data_Pm2NdAg3Se6
_chemical_formula_sum 'Pm4 Nd2 Ag6 Se12'
_cell_length_a 17.832
_cell_length_b 4.298
_cell_length_c 8.070
_cell_angle_alpha 90.00
_cell_angle_beta 97.88
_cell_angle_gamma 90.00
_space_group_name_H-M_alt 'C 1 2/m 1'
_space_group_IT_number 12
loop_
_space_group_symop_operation_xyz
'x,y,z'
'-x,-y,-z'
'-x,y,-z'
'x,-y,z'
'x+1/2,y+1/2,z'
'-x+1/2,-y+1/2,-z'
'-x+1/2,y+1/2,-z'
'x+1/2,-y+1/2,z'
loop_
_atom_site_label
_atom_site_type_symbol
_atom_site_fract_x
_atom_site_fract_y
_atom_site_fract_z
_atom_site_occupancy
Pm1 Pm 0.167 0.000 0.333 1
Nd1 Nd 0.000 0.500 0.000 1
Ag1 Ag 0.000 0.500 0.500 1
Ag2 Ag 0.168 0.000 0.829 1
Se1 Se 0.000 0.000 0.254 1
Se2 Se 0.166 0.500 0.584 1
Se3 Se 0.168 0.500 0.081 1
# Total DFT energy (no corrections): -4.804 eV/atom

# PmNdTcAg, relaxed, DFT PBE
data_PmNdTcAg
_chemical_formula_sum 'Pm4 Nd4 Tc4 Ag4'
_cell_length_a 7.234
_cell_length_b 7.234
_cell_length_c 7.234
_cell_angle_alpha 90.00
_cell_angle_beta 90.00
_cell_angle_gamma 90.00
_space_group_name_H-M_alt 'F -4 3 m'
_space_group_IT_number 216
_space_group_name_Hall 'F -4 2 3'
loop_
_atom_site_label
_atom_site_type_symbol
_atom_site_fract_x
_atom_site_fract_y
_atom_site_fract_z
_atom_site_occupancy
Pm1 Pm 0.000 0.000 0.000 1
Nd1 Nd 0.000 0.000 0.500 1
Tc1 Tc 0.250 0.250 0.750 1
Ag1 Ag 0.250 0.250 0.250 1
# Total DFT energy (no corrections): -5.673 eV/atom
# Formation energy: 10.6 meV/atom

# PmNdAgTe, relaxed, DFT PBE
data_PmNdAgTe
_chemical_formula_sum 'Pm4 Nd4 Ag4 Te4'
_cell_length_a 7.601
_cell_length_b 7.601
_cell_length_c 7.601
_cell_angle_alpha 90.00
_cell_angle_beta 90.00
_cell_angle_gamma 90.00
_space_group_name_H-M_alt 'F -4 3 m'
_space_group_IT_number 216
_space_group_name_Hall 'F -4 2 3'
loop_
_atom_site_label
_atom_site_type_symbol
_atom_site_fract_x
_atom_site_fract_y
_atom_site_fract_z
_atom_site_occupancy
Pm1 Pm 0.000 0.000 0.000 1
Nd1 Nd 0.000 0.000 0.500 1
Ag1 Ag 0.250 0.250 0.250 1
Te1 Te 0.250 0.250 0.750 1
# Total DFT energy (no corrections): -4.515 eV/atom

# Pm2NdAgTe5, relaxed, DFT PBE
data_Pm2NdAgTe5
_chemical_formula_sum 'Pm8 Nd4 Ag4 Te20'
_cell_length_a 4.407
_cell_length_b 19.025
_cell_length_c 13.389
_cell_angle_alpha 90.00
_cell_angle_beta 90.00
_cell_angle_gamma 90.00
_space_group_name_H-M_alt 'C m c 21'
_space_group_IT_number 36
loop_
_space_group_symop_operation_xyz
'x,y,z'
'-x,-y,z+1/2'
'-x,y,z'
'x,-y,z+1/2'
'x+1/2,y+1/2,z'
'-x+1/2,-y+1/2,z+1/2'
'-x+1/2,y+1/2,z'
'x+1/2,-y+1/2,z+1/2'
loop_
_atom_site_label
_atom_site_type_symbol
_atom_site_fract_x
_atom_site_fract_y
_atom_site_fract_z
_atom_site_occupancy
Pm1 Pm 0.000 0.111 0.000 1
Pm2 Pm 0.000 0.124 0.620 1
Nd1 Nd 0.000 0.193 0.323 1
Ag1 Ag 0.000 0.434 0.776 1
Te1 Te 0.000 0.041 0.393 1
Te2 Te 0.000 0.287 0.989 1
Te3 Te 0.000 0.310 0.651 1
Te4 Te 0.000 0.361 0.314 1
Te5 Te 0.000 0.498 0.094 1
# Total DFT energy (no corrections): -4.816 eV/atom

# PmNd2AgTe5, relaxed, DFT PBE
data_PmNd2AgTe5
_chemical_formula_sum 'Pm4 Nd8 Ag4 Te20'
_cell_length_a 4.418
_cell_length_b 19.062
_cell_length_c 13.389
_cell_angle_alpha 90.00
_cell_angle_beta 90.00
_cell_angle_gamma 90.00
_space_group_name_H-M_alt 'C m c 21'
_space_group_IT_number 36
loop_
_space_group_symop_operation_xyz
'x,y,z'
'-x,-y,z+1/2'
'-x,y,z'
'x,-y,z+1/2'
'x+1/2,y+1/2,z'
'-x+1/2,-y+1/2,z+1/2'
'-x+1/2,y+1/2,z'
'x+1/2,-y+1/2,z+1/2'
loop_
_atom_site_label
_atom_site_type_symbol
_atom_site_fract_x
_atom_site_fract_y
_atom_site_fract_z
_atom_site_occupancy
Pm1 Pm 0.000 0.193 0.000 1
Nd1 Nd 0.000 0.111 0.677 1
Nd2 Nd 0.000 0.125 0.297 1
Ag1 Ag 0.000 0.433 0.452 1
Te1 Te 0.000 0.041 0.069 1
Te2 Te 0.000 0.287 0.664 1
Te3 Te 0.000 0.309 0.329 1
Te4 Te 0.000 0.360 0.991 1
Te5 Te 0.000 0.499 0.770 1
# Total DFT energy (no corrections): -4.836 eV/atom

# PmNdAg2Te4, relaxed, DFT PBE
data_PmNdAg2Te4
_chemical_formula_sum 'Pm2 Nd2 Ag4 Te8'
_cell_length_a 7.617
_cell_length_b 7.631
_cell_length_c 8.843
_cell_angle_alpha 90.00
_cell_angle_beta 90.00
_cell_angle_gamma 90.00
_space_group_name_H-M_alt 'I 2 2 2'
_space_group_IT_number 23
loop_
_space_group_symop_operation_xyz
'x,y,z'
'-x,-y,z'
'x,-y,-z'
'-x,y,-z'
'x+1/2,y+1/2,z+1/2'
'-x+1/2,-y+1/2,z+1/2'
'x+1/2,-y+1/2,-z+1/2'
'-x+1/2,y+1/2,-z+1/2'
loop_
_atom_site_label
_atom_site_type_symbol
_atom_site_fract_x
_atom_site_fract_y
_atom_site_fract_z
_atom_site_occupancy
Pm1 Pm 0.000 0.000 0.000 1
Nd1 Nd 0.000 0.000 0.500 1
Ag1 Ag 0.000 0.500 0.341 1
Te1 Te 0.241 0.255 0.823 1
# Total DFT energy (no corrections): -4.220 eV/atom

# PmNdThAg, relaxed, DFT PBE
data_PmNdThAg
_chemical_formula_sum 'Pm4 Nd4 Th4 Ag4'
_cell_length_a 7.752
_cell_length_b 7.752
_cell_length_c 7.752
_cell_angle_alpha 90.00
_cell_angle_beta 90.00
_cell_angle_gamma 90.00
_space_group_name_H-M_alt 'F -4 3 m'
_space_group_IT_number 216
_space_group_name_Hall 'F -4 2 3'
loop_
_atom_site_label
_atom_site_type_symbol
_atom_site_fract_x
_atom_site_fract_y
_atom_site_fract_z
_atom_site_occupancy
Pm1 Pm 0.000 0.000 0.000 1
Nd1 Nd 0.250 0.250 0.750 1
Th1 Th 0.250 0.250 0.250 1
Ag1 Ag 0.000 0.000 0.500 1
# Total DFT energy (no corrections): -4.806 eV/atom
# Formation energy: 141.8 meV/atom

# PmNd2Tl2Ag2, relaxed, DFT PBE
data_PmNd2Tl2Ag2
_chemical_formula_sum 'Pm3 Nd6 Tl6 Ag6'
_cell_length_a 4.9552
_cell_length_b 4.9552
_cell_length_c 27.5149
_cell_angle_alpha 90.00
_cell_angle_beta 90.00
_cell_angle_gamma 120.00
_space_group_name_H-M_alt 'R -3 m'
_space_group_IT_number 166
_space_group_name_Hall '-R 3 2"'
loop_
_atom_site_label
_atom_site_type_symbol
_atom_site_fract_x
_atom_site_fract_y
_atom_site_fract_z
_atom_site_occupancy
Pm1 Pm 0.0000 0.0000 0.0000 1
Nd1 Nd 0.0000 0.0000 0.1248 1
Tl1 Tl 0.0000 0.0000 0.2619 1
Ag1 Ag 0.0000 0.0000 0.3952 1
# Total DFT energy (no corrections): -3.737 eV/atom
# Formation energy: -205.7 meV/atom

# PmNdTlAg, relaxed, DFT PBE
data_PmNdTlAg
_chemical_formula_sum 'Pm4 Nd4 Tl4 Ag4'
_cell_length_a 7.656
_cell_length_b 7.656
_cell_length_c 7.656
_cell_angle_alpha 90.00
_cell_angle_beta 90.00
_cell_angle_gamma 90.00
_space_group_name_H-M_alt 'F -4 3 m'
_space_group_IT_number 216
_space_group_name_Hall 'F -4 2 3'
loop_
_atom_site_label
_atom_site_type_symbol
_atom_site_fract_x
_atom_site_fract_y
_atom_site_fract_z
_atom_site_occupancy
Pm1 Pm 0.000 0.000 0.000 1
Nd1 Nd 0.000 0.000 0.500 1
Tl1 Tl 0.250 0.250 0.250 1
Ag1 Ag 0.250 0.250 0.750 1
# Total DFT energy (no corrections): -4.006 eV/atom
# Formation energy: -321.9 meV/atom

# PmNdTmAg, relaxed, DFT PBE
data_PmNdTmAg
_chemical_formula_sum 'Pm1 Nd1 Tm1 Ag1'
_cell_length_a 3.637
_cell_length_b 3.637
_cell_length_c 8.859
_cell_angle_alpha 90.00
_cell_angle_beta 90.00
_cell_angle_gamma 90.00
_space_group_name_H-M_alt 'P 4 m m'
_space_group_IT_number 99
loop_
_space_group_symop_operation_xyz
'x,y,z'
'-y,x,z'
'-x,-y,z'
'y,-x,z'
'-x,y,z'
'y,x,z'
'x,-y,z'
'-y,-x,z'
loop_
_atom_site_label
_atom_site_type_symbol
_atom_site_fract_x
_atom_site_fract_y
_atom_site_fract_z
_atom_site_occupancy
Pm1 Pm 0.000 0.000 0.000 1
Nd1 Nd 0.500 0.500 0.296 1
Tm1 Tm 0.000 0.000 0.583 1
Ag1 Ag 0.500 0.500 0.771 1
# Total DFT energy (no corrections): -4.340 eV/atom
# Formation energy: -129.5 meV/atom

# PmNdTmAg, relaxed, DFT PBE
data_PmNdTmAg
_chemical_formula_sum 'Pm4 Nd4 Tm4 Ag4'
_cell_length_a 7.717
_cell_length_b 7.717
_cell_length_c 7.717
_cell_angle_alpha 90.00
_cell_angle_beta 90.00
_cell_angle_gamma 90.00
_space_group_name_H-M_alt 'F -4 3 m'
_space_group_IT_number 216
_space_group_name_Hall 'F -4 2 3'
loop_
_atom_site_label
_atom_site_type_symbol
_atom_site_fract_x
_atom_site_fract_y
_atom_site_fract_z
_atom_site_occupancy
Pm1 Pm 0.000 0.000 0.000 1
Nd1 Nd 0.250 0.250 0.750 1
Tm1 Tm 0.250 0.250 0.250 1
Ag1 Ag 0.000 0.000 0.500 1
# Total DFT energy (no corrections): -4.102 eV/atom
# Formation energy: 108.3 meV/atom

# PmNdZnAg, relaxed, DFT PBE
data_PmNdZnAg
_chemical_formula_sum 'Pm1 Nd1 Zn1 Ag1'
_cell_length_a 3.732
_cell_length_b 3.732
_cell_length_c 7.300
_cell_angle_alpha 90.00
_cell_angle_beta 90.00
_cell_angle_gamma 90.00
_space_group_name_H-M_alt 'P 4 m m'
_space_group_IT_number 99
loop_
_space_group_symop_operation_xyz
'x,y,z'
'-y,x,z'
'-x,-y,z'
'y,-x,z'
'-x,y,z'
'y,x,z'
'x,-y,z'
'-y,-x,z'
loop_
_atom_site_label
_atom_site_type_symbol
_atom_site_fract_x
_atom_site_fract_y
_atom_site_fract_z
_atom_site_occupancy
Pm1 Pm 0.000 0.000 0.000 1
Nd1 Nd 0.000 0.000 0.484 1
Zn1 Zn 0.500 0.500 0.239 1
Ag1 Ag 0.500 0.500 0.747 1
# Total DFT energy (no corrections): -3.707 eV/atom
# Formation energy: -296.2 meV/atom

# PmNdZnAg, relaxed, DFT PBE
data_PmNdZnAg
_chemical_formula_sum 'Pm4 Nd4 Zn4 Ag4'
_cell_length_a 7.429
_cell_length_b 7.429
_cell_length_c 7.429
_cell_angle_alpha 90.00
_cell_angle_beta 90.00
_cell_angle_gamma 90.00
_space_group_name_H-M_alt 'F -4 3 m'
_space_group_IT_number 216
_space_group_name_Hall 'F -4 2 3'
loop_
_atom_site_label
_atom_site_type_symbol
_atom_site_fract_x
_atom_site_fract_y
_atom_site_fract_z
_atom_site_occupancy
Pm1 Pm 0.000 0.000 0.000 1
Nd1 Nd 0.000 0.000 0.500 1
Zn1 Zn 0.250 0.250 0.750 1
Ag1 Ag 0.250 0.250 0.250 1
# Total DFT energy (no corrections): -3.689 eV/atom
# Formation energy: -278.2 meV/atom

# PrNd5Ag6, relaxed, DFT PBE
data_PrNd5Ag6
_chemical_formula_sum 'Pr2 Nd10 Ag12'
_cell_length_a 5.358
_cell_length_b 16.065
_cell_length_c 7.428
_cell_angle_alpha 90.00
_cell_angle_beta 90.00
_cell_angle_gamma 90.00
_space_group_name_H-M_alt 'C m m m'
_space_group_IT_number 65
_space_group_name_Hall '-C 2 2'
loop_
_atom_site_label
_atom_site_type_symbol
_atom_site_fract_x
_atom_site_fract_y
_atom_site_fract_z
_atom_site_occupancy
Pr1 Pr 0.000 0.000 0.000 1
Nd1 Nd 0.000 0.000 0.500 1
Nd2 Nd 0.000 0.333 0.000 1
Nd3 Nd 0.000 0.334 0.500 1
Ag1 Ag 0.000 0.168 0.251 1
Ag2 Ag 0.000 0.500 0.252 1
# Total DFT energy (no corrections): -4.064 eV/atom
# Formation energy: -253.5 meV/atom

# Pr2Nd3Ag3, relaxed, DFT PBE
data_Pr2Nd3Ag3
_chemical_formula_sum 'Pr4 Nd6 Ag6'
_cell_length_a 3.806
_cell_length_b 5.455
_cell_length_c 22.344
_cell_angle_alpha 90.00
_cell_angle_beta 90.00
_cell_angle_gamma 90.00
_space_group_name_H-M_alt 'I m m m'
_space_group_IT_number 71
_space_group_name_Hall '-I 2 2'
loop_
_atom_site_label
_atom_site_type_symbol
_atom_site_fract_x
_atom_site_fract_y
_atom_site_fract_z
_atom_site_occupancy
Pr1 Pr 0.000 0.000 0.230 1
Nd1 Nd 0.000 0.000 0.000 1
Nd2 Nd 0.000 0.500 0.119 1
Ag1 Ag 0.000 0.000 0.500 1
Ag2 Ag 0.000 0.500 0.385 1
# Total DFT energy (no corrections): -4.217 eV/atom
# Formation energy: -165.4 meV/atom